# 1
{"formula": "Y2Ga6CoRu", "functional": "PBE-GGA", "state": "optimized geometry", "ef_ev_per_atom": -0.313, "spacegroup": "No. 225", "lattice": [[6.5413, -0.0004, 0.0000], [0.0004, 6.5413, 0.0000], [3.2708, 3.2704, 4.6254]], "species": ["Ga", "Ru", "Ga", "Ga", "Ga", "Ga", "Y", "Y", "Co", "Ga"], "fractional_positions": [[0.7574, 0.7574, 0.4851], [0.5000, 0.5000, 0.0000], [0.2426, 0.2426, 0.5149], [0.2426, 0.2426, 0.0000], [0.7574, 0.7574, 0.0000], [0.2426, 0.7574, 0.0000], [0.2500, 0.7500, 0.5000], [0.7500, 0.2500, 0.5000], [0.0000, 0.0000, 0.0000], [0.7574, 0.2426, 0.0000]]}

=====

# 2
{"formula": "TbHoMgAg", "functional": "PBE-GGA", "state": "optimized geometry", "ef_ev_per_atom": -0.188, "de_polymorph_mev_per_atom": 0, "spacegroup": "No. 99", "lattice": [[-0.9734, 3.1216, -1.7848], [-3.1896, -1.6033, -1.0646], [-3.2579, 2.4529, 6.0668]], "species": ["Tb", "Ag", "Ho", "Mg"], "fractional_positions": [[0.0000, 0.0000, 0.3653], [0.5000, 0.5000, 0.6112], [0.0000, 0.0000, 0.8475], [0.5000, 0.5000, 0.1040]]}

=====

# 3
{"formula": "Ac3In3Au", "functional": "PBE-GGA", "state": "optimized geometry", "ef_ev_per_atom": -0.523, "spacegroup": "No. 12", "lattice": [[2.4825, 5.9789, 0.0709], [-2.4825, 5.9789, 0.0709], [0.0000, 5.6098, 15.5174]], "species": ["In", "In", "In", "In", "Au", "Ac", "Ac", "In", "Ac", "Ac", "Ac", "Au", "Ac", "In"], "fractional_positions": [[0.0310, 0.0310, 0.7680], [0.1366, 0.1366, 0.4610], [0.8886, 0.8886, 0.0778], [0.8634, 0.8634, 0.5390], [0.7476, 0.7476, 0.3865], [0.3962, 0.3962, 0.9228], [0.5438, 0.5438, 0.6148], [0.1114, 0.1114, 0.9222], [0.7434, 0.7434, 0.7641], [0.6038, 0.6038, 0.0772], [0.2566, 0.2566, 0.2359], [0.2524, 0.2524, 0.6135], [0.4562, 0.4562, 0.3852], [0.9690, 0.9690, 0.2320]]}

=====

# 4
{"formula": "TlSbP", "functional": "PBE-GGA", "state": "optimized geometry", "raw_formation_energy_ev_per_fu": 0.270, "de_polymorph_mev_per_atom": 0, "spacegroup": "No. 156", "lattice": [[3.7263, 0.0000, 0.0000], [-1.8632, 3.2271, 0.0000], [0.0000, 0.0000, 6.9155]], "species": ["Sb", "Tl", "P"], "fractional_positions": [[0.6667, 0.3333, 0.2612], [0.3333, 0.6667, 0.6955], [0.0000, 0.0000, 0.0432]]}

=====

# 5
{"formula": "KMgTe4", "functional": "PBE-GGA", "state": "optimized geometry", "raw_formation_energy_ev_per_fu": -0.437, "spacegroup": "No. 216", "lattice": [[-5.1285, 4.0055, 0.7631], [-0.9180, 4.9762, -4.1620], [-4.9608, -0.1784, -4.2763]], "species": ["Mg", "Te", "Te", "Te", "K", "Te"], "fractional_positions": [[0.0000, 0.0000, 0.0000], [0.3736, 0.3736, 0.8793], [0.8793, 0.3736, 0.3736], [0.3736, 0.3736, 0.3736], [0.7500, 0.7500, 0.7500], [0.3736, 0.8793, 0.3736]]}

=====

# 6
{"formula": "HgRu2W", "functional": "PBE-GGA", "state": "optimized geometry", "ef_ev_per_atom": 0.409, "de_polymorph_mev_per_atom": 190, "spacegroup": "No. 65", "lattice": [[2.8223, -0.0001, 0.0000], [-1.1031, 2.5978, 0.0000], [0.0000, 0.0000, 9.0511]], "species": ["Ru", "Ru", "W", "Hg"], "fractional_positions": [[0.0000, 0.0000, 0.0246], [0.0000, 0.0000, 0.4754], [0.5000, 0.5000, 0.2500], [0.5000, 0.5000, 0.7500]]}

=====

# 7
{"formula": "LaPm4Sm2Y2", "functional": "PBE-GGA", "state": "optimized geometry", "ef_ev_per_atom": 0.018, "spacegroup": "No. 12", "lattice": [[5.1503, 0.0000, 0.0000], [-2.5752, 7.7258, -0.0386], [0.0000, -2.5373, 7.7244]], "species": ["Sm", "Sm", "Pm", "Pm", "Pm", "Y", "Pm", "Y", "La"], "fractional_positions": [[0.8891, 0.7782, 0.3351], [0.1109, 0.2218, 0.6649], [0.2223, 0.4446, 0.3329], [0.5558, 0.1117, 0.3346], [0.4442, 0.8883, 0.6654], [0.3318, 0.6636, 0.0010], [0.7777, 0.5554, 0.6671], [0.6682, 0.3364, 0.9990], [0.0000, 0.0000, 0.0000]]}

=====

# 8
{"formula": "Ac2PbN", "functional": "PBE-GGA", "state": "optimized geometry", "raw_formation_energy_ev_per_fu": -1.511, "de_polymorph_mev_per_atom": 438, "spacegroup": "No. 123", "lattice": [[-1.9516, -2.4139, 1.5447], [-0.1934, -1.7536, -2.9848], [7.0084, -4.3293, 2.0893]], "species": ["Ac", "Ac", "Pb", "N"], "fractional_positions": [[0.0000, 0.0000, 0.8119], [0.0000, 0.0000, 0.1881], [0.5000, 0.5000, 0.5000], [0.5000, 0.5000, 0.0000]]}